Density functional theory data (PBE) for a relaxed AlBi2Os crystal.

```
AlBi2Os
1.0
6.390 0.000 0.000
0.000 6.390 0.000
3.195 3.195 6.234
Bi Os Al
4 2 2
Direct
0.099 0.625 0.250 Bi
0.875 0.901 0.750 Bi
0.651 0.125 0.250 Bi
0.375 0.349 0.750 Bi
0.750 0.250 0.500 Os
0.000 0.000 0.000 Os
0.250 0.750 0.500 Al
0.500 0.500 0.000 Al
```

Calculated volume = 127.3 Å³/f.u.
M_tot = 0.0 μB/cell
Energy relative to the elements = 863 meV/atom